# 1
# CeEuHgAu GGA-PBE optimized geometry
data_CeEuHgAu
_space_group_name_H-M_alt 'F -4 3 m'
_space_group_IT_number 216
_space_group_name_Hall 'F -4 2 3'
_cell_length_a 7.2774
_cell_length_b 7.2774
_cell_length_c 7.2774
_cell_angle_alpha 90.00
_cell_angle_beta 90.00
_cell_angle_gamma 90.00
loop_
_atom_site_label
_atom_site_fract_x
_atom_site_fract_y
_atom_site_fract_z
Ce1 0.0000 0.0000 0.0000
Eu1 0.2500 0.2500 0.2500
Hg1 0.0000 0.0000 0.5000
Au1 0.2500 0.2500 0.7500
# total magnetization	8.03	μB per formula unit
# E	-5.314	eV per atom
# N(E_F)	28.7	states/eV per cell

=====

# 2
# BaHf2RhBr GGA-PBE optimized geometry
data_BaHf2RhBr
_space_group_name_H-M_alt 'P 4/m m m'
_space_group_IT_number 123
_space_group_name_Hall '-P 4 2'
_cell_length_a 4.8594
_cell_length_b 4.8594
_cell_length_c 7.7602
_cell_angle_alpha 90.00
_cell_angle_beta 90.00
_cell_angle_gamma 90.00
loop_
_atom_site_label
_atom_site_fract_x
_atom_site_fract_y
_atom_site_fract_z
Ba1 0.0000 0.0000 0.0000
Hf1 0.0000 0.5000 0.5000
Rh1 0.5000 0.5000 0.5000
Br1 0.5000 0.5000 0.0000
# total magnetization	0.00	μB per formula unit
# uncorrected formation energy	0.10	eV per atom
# E	-6.066	eV per atom
# N(E_F)	5.2	states/eV per cell

=====

# 3
# La2TbSm6Er GGA-PBE optimized geometry
data_La2TbSm6Er
_space_group_name_H-M_alt 'C 1 2/c 1'
_space_group_IT_number 15
_space_group_name_Hall '-C 2yc'
_cell_length_a 9.1283
_cell_length_b 15.2015
_cell_length_c 10.0171
_cell_angle_alpha 90.00
_cell_angle_beta 100.09
_cell_angle_gamma 90.00
loop_
_atom_site_label
_atom_site_fract_x
_atom_site_fract_y
_atom_site_fract_z
La1 0.2431 0.0494 0.0409
Tb1 0.0000 0.0129 0.7500
Sm1 0.0679 0.1911 0.4435
Sm2 0.1019 0.3969 0.6209
Sm3 0.1997 0.2194 0.8108
Er1 0.0000 0.4051 0.2500
# total magnetization	0.00	μB per formula unit
# E	-4.620	eV per atom
# N(E_F)	60.3	states/eV per cell

=====

# 4
# CeTmAl2Zn2 GGA-PBE optimized geometry
data_CeTmAl2Zn2
_space_group_name_H-M_alt 'P -3 m 1'
_space_group_IT_number 164
_space_group_name_Hall '-P 3 2"'
_cell_length_a 4.4793
_cell_length_b 4.4793
_cell_length_c 7.2995
_cell_angle_alpha 90.00
_cell_angle_beta 90.00
_cell_angle_gamma 120.00
loop_
_atom_site_label
_atom_site_fract_x
_atom_site_fract_y
_atom_site_fract_z
Ce1 0.0000 0.0000 0.0000
Tm1 0.0000 0.0000 0.5000
Al1 0.3333 0.6667 0.2648
Zn1 0.3333 0.6667 0.7237
# total magnetization	0.98	μB per formula unit
# E	-3.794	eV per atom
# N(E_F)	8.0	states/eV per cell

=====

# 5
# HoEr4Tm2Mg GGA-PBE optimized geometry
data_HoEr4Tm2Mg
_space_group_name_H-M_alt 'C 1 2/m 1'
_space_group_IT_number 12
_space_group_name_Hall '-C 2y'
_cell_length_a 11.9946
_cell_length_b 3.6346
_cell_length_c 11.3711
_cell_angle_alpha 90.00
_cell_angle_beta 106.95
_cell_angle_gamma 90.00
loop_
_atom_site_label
_atom_site_fract_x
_atom_site_fract_y
_atom_site_fract_z
Ho1 0.0000 0.0000 0.0000
Er1 0.2188 0.5000 0.6097
Er2 0.2367 0.0000 0.8673
Tm1 0.0239 0.5000 0.2733
Mg1 0.0000 0.0000 0.5000
# total magnetization	0.00	μB per formula unit
# E	-4.148	eV per atom
# N(E_F)	20.2	states/eV per cell

=====

# 6
# CuReSb2 GGA-PBE optimized geometry
data_CuReSb2
_space_group_name_H-M_alt 'C m m m'
_space_group_IT_number 65
_space_group_name_Hall '-C 2 2'
_cell_length_a 3.3665
_cell_length_b 5.3568
_cell_length_c 8.6952
_cell_angle_alpha 90.00
_cell_angle_beta 90.00
_cell_angle_gamma 90.00
loop_
_atom_site_label
_atom_site_fract_x
_atom_site_fract_y
_atom_site_fract_z
Cu1 0.0000 0.0000 0.0000
Re1 0.0000 0.0000 0.5000
Sb1 0.0000 0.5000 0.2524
# total magnetization	0.00	μB per formula unit
# uncorrected formation energy	0.71	eV per atom
# E	-5.486	eV per atom
# N(E_F)	7.5	states/eV per cell

=====

# 7
# Y2Er3Zn3 GGA-PBE optimized geometry
data_Y2Er3Zn3
_space_group_name_H-M_alt 'I m m m'
_space_group_IT_number 71
_space_group_name_Hall '-I 2 2'
_cell_length_a 3.5932
_cell_length_b 5.1311
_cell_length_c 21.3650
_cell_angle_alpha 90.00
_cell_angle_beta 90.00
_cell_angle_gamma 90.00
loop_
_atom_site_label
_atom_site_fract_x
_atom_site_fract_y
_atom_site_fract_z
Y1 0.0000 0.0000 0.2277
Er1 0.0000 0.0000 0.0000
Er2 0.0000 0.5000 0.1172
Zn1 0.0000 0.0000 0.5000
Zn2 0.0000 0.5000 0.3861
# total magnetization	0.00	μB per formula unit
# E	-4.051	eV per atom
# N(E_F)	17.5	states/eV per cell

=====

# 8
# LiZr2I6 GGA-PBE optimized geometry
data_LiZr2I6
_space_group_name_H-M_alt 'C 1 2/c 1'
_space_group_IT_number 15
_space_group_name_Hall '-C 2yc'
_cell_length_a 18.3781
_cell_length_b 11.1452
_cell_length_c 7.2798
_cell_angle_alpha 90.00
_cell_angle_beta 111.70
_cell_angle_gamma 90.00
loop_
_atom_site_label
_atom_site_fract_x
_atom_site_fract_y
_atom_site_fract_z
Li1 0.0000 0.0131 0.2500
Zr1 0.2436 0.0593 0.3224
I1 0.0841 0.1413 0.0636
I2 0.1316 0.4682 0.8298
I3 0.1926 0.1781 0.6387
# total magnetization	3.04	μB per formula unit
# uncorrected formation energy	-0.77	eV per atom
# E	-3.913	eV per atom
# N(E_F)	19.0	states/eV per cell

=====

# 9
# RbBe3S GGA-PBE optimized geometry
data_RbBe3S
_space_group_name_H-M_alt 'P m -3 m'
_space_group_IT_number 221
_space_group_name_Hall '-P 4 2 3'
_cell_length_a 4.6419
_cell_length_b 4.6419
_cell_length_c 4.6419
_cell_angle_alpha 90.00
_cell_angle_beta 90.00
_cell_angle_gamma 90.00
loop_
_atom_site_label
_atom_site_fract_x
_atom_site_fract_y
_atom_site_fract_z
Rb1 0.0000 0.0000 0.0000
Be1 0.0000 0.5000 0.5000
S1 0.5000 0.5000 0.5000
# total magnetization	0.00	μB per formula unit
# uncorrected formation energy	1.14	eV per atom
# E	-2.110	eV per atom
# N(E_F)	4.2	states/eV per cell

=====

# 10
# BeMoIr GGA-PBE optimized geometry
data_BeMoIr
_space_group_name_H-M_alt 'P 3 m 1'
_space_group_IT_number 156
_space_group_name_Hall 'P 3 -2"'
_cell_length_a 2.7616
_cell_length_b 2.7616
_cell_length_c 6.1106
_cell_angle_alpha 90.00
_cell_angle_beta 90.00
_cell_angle_gamma 120.00
loop_
_atom_site_label
_atom_site_fract_x
_atom_site_fract_y
_atom_site_fract_z
Be1 0.0000 0.0000 0.0000
Mo1 0.3333 0.6667 0.6608
Ir1 0.6667 0.3333 0.3016
# total magnetization	0.00	μB per formula unit
# E	-7.808	eV per atom
# N(E_F)	2.5	states/eV per cell

=====

# 11
# SbRuPb2 GGA-PBE optimized geometry
data_SbRuPb2
_space_group_name_H-M_alt 'C m m m'
_space_group_IT_number 65
_space_group_name_Hall '-C 2 2'
_cell_length_a 6.4529
_cell_length_b 8.5307
_cell_length_c 3.4987
_cell_angle_alpha 90.00
_cell_angle_beta 90.00
_cell_angle_gamma 90.00
loop_
_atom_site_label
_atom_site_fract_x
_atom_site_fract_y
_atom_site_fract_z
Sb1 0.0000 0.0000 0.0000
Ru1 0.0000 0.5000 0.0000
Pb1 0.2500 0.2500 0.5000
# total magnetization	0.00	μB per formula unit
# uncorrected formation energy	0.59	eV per atom
# E	-4.612	eV per atom
# N(E_F)	8.8	states/eV per cell

=====

# 12
# RbLiTe2S4 GGA-PBE optimized geometry
data_RbLiTe2S4
_space_group_name_H-M_alt 'I 2 2 2'
_space_group_IT_number 23
_space_group_name_Hall 'I 2 2'
_cell_length_a 6.8647
_cell_length_b 6.8737
_cell_length_c 9.5938
_cell_angle_alpha 90.00
_cell_angle_beta 90.00
_cell_angle_gamma 90.00
loop_
_atom_site_label
_atom_site_fract_x
_atom_site_fract_y
_atom_site_fract_z
Rb1 0.0000 0.0000 0.0000
Li1 0.0000 0.0000 0.5000
Te1 0.0000 0.5000 0.2510
S1 0.2084 0.2067 0.6569
# total magnetization	0.00	μB per formula unit
# uncorrected formation energy	-0.41	eV per atom
# E	-3.618	eV per atom
# N(E_F)	1.9	states/eV per cell

=====

# 13
# Nd2Ga3RuPt4 GGA-PBE optimized geometry
data_Nd2Ga3RuPt4
_space_group_name_H-M_alt 'P -4 m 2'
_space_group_IT_number 115
_space_group_name_Hall 'P -4 -2'
_cell_length_a 4.1368
_cell_length_b 4.1368
_cell_length_c 11.1637
_cell_angle_alpha 90.00
_cell_angle_beta 90.00
_cell_angle_gamma 90.00
loop_
_atom_site_label
_atom_site_fract_x
_atom_site_fract_y
_atom_site_fract_z
Nd1 0.0000 0.5000 0.2466
Ga1 0.0000 0.0000 0.0000
Ga2 0.0000 0.5000 0.6324
Ru1 0.5000 0.5000 0.0000
Pt1 0.0000 0.0000 0.5000
Pt2 0.0000 0.5000 0.8545
Pt3 0.5000 0.5000 0.5000
# total magnetization	0.00	μB per formula unit
# E	-5.998	eV per atom
# N(E_F)	7.3	states/eV per cell

=====

# 14
# Y2In2Hg GGA-PBE optimized geometry
data_Y2In2Hg
_space_group_name_H-M_alt 'P 4/m b m'
_space_group_IT_number 127
_space_group_name_Hall '-P 4 2ab'
_cell_length_a 8.7292
_cell_length_b 8.7292
_cell_length_c 3.7685
_cell_angle_alpha 90.00
_cell_angle_beta 90.00
_cell_angle_gamma 90.00
loop_
_atom_site_label
_atom_site_fract_x
_atom_site_fract_y
_atom_site_fract_z
Y1 0.1794 0.3206 0.0000
In1 0.1205 0.6205 0.5000
Hg1 0.0000 0.0000 0.0000
# total magnetization	0.00	μB per formula unit
# E	-4.032	eV per atom
# N(E_F)	9.7	states/eV per cell

=====

# 15
# Tl2TcRh GGA-PBE optimized geometry
data_Tl2TcRh
_space_group_name_H-M_alt 'P 1 2/m 1'
_space_group_IT_number 10
_space_group_name_Hall '-P 2y'
_cell_length_a 4.7771
_cell_length_b 3.0899
_cell_length_c 5.5540
_cell_angle_alpha 90.00
_cell_angle_beta 113.37
_cell_angle_gamma 90.00
loop_
_atom_site_label
_atom_site_fract_x
_atom_site_fract_y
_atom_site_fract_z
Tl1 0.0000 0.0000 0.0000
Tl2 0.0000 0.5000 0.5000
Tc1 0.5000 0.0000 0.5000
Rh1 0.5000 0.5000 0.0000
# total magnetization	0.01	μB per formula unit
# E	-5.058	eV per atom
# N(E_F)	3.7	states/eV per cell

=====

# 16
# AcPr2Er2Tm2 GGA-PBE optimized geometry
data_AcPr2Er2Tm2
_space_group_name_H-M_alt 'C 1 2/m 1'
_space_group_IT_number 12
_space_group_name_Hall '-C 2y'
_cell_length_a 11.5258
_cell_length_b 5.1299
_cell_length_c 8.1210
_cell_angle_alpha 90.00
_cell_angle_beta 98.63
_cell_angle_gamma 90.00
loop_
_atom_site_label
_atom_site_fract_x
_atom_site_fract_y
_atom_site_fract_z
Ac1 0.0000 0.0000 0.0000
Pr1 0.2152 0.5000 0.1538
Er1 0.0746 0.5000 0.7034
Tm1 0.1415 0.0000 0.4332
# total magnetization	0.00	μB per formula unit
# E	-4.485	eV per atom
# N(E_F)	21.1	states/eV per cell

=====

# 17
# BaNbVN4 GGA-PBE optimized geometry
data_BaNbVN4
_space_group_name_H-M_alt 'P 1 21/m 1'
_space_group_IT_number 11
_space_group_name_Hall '-P 2yb'
_cell_length_a 5.5682
_cell_length_b 5.7149
_cell_length_c 7.3467
_cell_angle_alpha 90.00
_cell_angle_beta 110.31
_cell_angle_gamma 90.00
loop_
_atom_site_label
_atom_site_fract_x
_atom_site_fract_y
_atom_site_fract_z
Ba1 0.2283 0.2500 0.4443
Nb1 0.3258 0.2500 0.9651
V1 0.2145 0.7500 0.1455
N1 0.0148 0.7500 0.2936
N2 0.0187 0.2500 0.0764
N3 0.4631 0.5162 0.1690
# total magnetization	0.00	μB per formula unit
# uncorrected formation energy	-0.81	eV per atom
# E	-8.583	eV per atom

=====

# 18
# SnBRh3 GGA-PBE optimized geometry
data_SnBRh3
_space_group_name_H-M_alt 'R -3 c'
_space_group_IT_number 167
_space_group_name_Hall '-R 3 2"c'
_cell_length_a 6.9591
_cell_length_b 6.9591
_cell_length_c 10.7309
_cell_angle_alpha 90.00
_cell_angle_beta 90.00
_cell_angle_gamma 120.00
loop_
_atom_site_label
_atom_site_fract_x
_atom_site_fract_y
_atom_site_fract_z
Sn1 0.0000 0.0000 0.0000
B1 0.0000 0.0000 0.2500
Rh1 0.0000 0.2886 0.2500
# total magnetization	0.00	μB per formula unit
# E	-6.504	eV per atom
# N(E_F)	39.2	states/eV per cell

=====

# 19
# PrGaRuN GGA-PBE optimized geometry
data_PrGaRuN
_space_group_name_H-M_alt 'P 4/n m m'
_space_group_IT_number 129
_cell_length_a 3.8991
_cell_length_b 3.8991
_cell_length_c 9.2276
_cell_angle_alpha 90.00
_cell_angle_beta 90.00
_cell_angle_gamma 90.00
loop_
_space_group_symop_operation_xyz
'x,y,z'
'-x,-y,-z'
'-y+1/2,x,z'
'y+1/2,-x,-z'
'-x+1/2,-y+1/2,z'
'x+1/2,y+1/2,-z'
'y,-x+1/2,z'
'-y,x+1/2,-z'
'x+1/2,-y,-z'
'-x+1/2,y,z'
'-y,-x,-z'
'y,x,z'
'-x,y+1/2,-z'
'x,-y+1/2,z'
'y+1/2,x+1/2,-z'
'-y+1/2,-x+1/2,z'
loop_
_atom_site_label
_atom_site_fract_x
_atom_site_fract_y
_atom_site_fract_z
Pr1 0.2500 0.2500 0.1432
Ga1 0.2500 0.7500 0.5000
Ru1 0.2500 0.2500 0.6753
N1 0.2500 0.2500 0.8849
# total magnetization	0.00	μB per formula unit
# uncorrected formation energy	-0.56	eV per atom
# E	-6.909	eV per atom
# N(E_F)	8.9	states/eV per cell

=====

# 20
# SrScBe2 GGA-PBE optimized geometry
data_SrScBe2
_space_group_name_H-M_alt 'C 1 2/m 1'
_space_group_IT_number 12
_space_group_name_Hall '-C 2y'
_cell_length_a 7.5964
_cell_length_b 4.3866
_cell_length_c 6.1314
_cell_angle_alpha 90.00
_cell_angle_beta 114.27
_cell_angle_gamma 90.00
loop_
_atom_site_label
_atom_site_fract_x
_atom_site_fract_y
_atom_site_fract_z
Sr1 0.0000 0.0000 0.0000
Sc1 0.0000 0.5000 0.5000
Be1 0.1830 0.0000 0.5491
# total magnetization	0.00	μB per formula unit
# E	-3.603	eV per atom
# N(E_F)	5.4	states/eV per cell

=====

# 21
# Ac3GeO2 GGA-PBE optimized geometry
data_Ac3GeO2
_space_group_name_H-M_alt 'C m c m'
_space_group_IT_number 63
_space_group_name_Hall '-C 2c 2'
_cell_length_a 9.3515
_cell_length_b 13.0466
_cell_length_c 5.7287
_cell_angle_alpha 90.00
_cell_angle_beta 90.00
_cell_angle_gamma 90.00
loop_
_atom_site_label
_atom_site_fract_x
_atom_site_fract_y
_atom_site_fract_z
Ac1 0.0000 0.0985 0.2500
Ac2 0.2062 0.3823 0.2500
Ge1 0.0000 0.2714 0.7500
O1 0.1680 0.0000 0.0000
# total magnetization	0.92	μB per formula unit
# uncorrected formation energy	-2.00	eV per atom
# E	-6.473	eV per atom
# N(E_F)	9.9	states/eV per cell

=====

# 22
# Ti2VSb2 GGA-PBE optimized geometry
data_Ti2VSb2
_space_group_name_H-M_alt 'C m c 21'
_space_group_IT_number 36
_space_group_name_Hall 'C 2c -2'
_cell_length_a 3.6591
_cell_length_b 16.3816
_cell_length_c 6.5879
_cell_angle_alpha 90.00
_cell_angle_beta 90.00
_cell_angle_gamma 90.00
loop_
_atom_site_label
_atom_site_fract_x
_atom_site_fract_y
_atom_site_fract_z
Ti1 0.0000 0.0219 0.0000
Ti2 0.0000 0.1817 0.4425
V1 0.0000 0.4054 0.2006
Sb1 0.0000 0.1886 0.8861
Sb2 0.0000 0.4270 0.7864
# total magnetization	0.00	μB per formula unit
# uncorrected formation energy	-0.25	eV per atom
# E	-6.880	eV per atom
# N(E_F)	20.4	states/eV per cell

=====

# 23
# HoTh3Sc2 GGA-PBE optimized geometry
data_HoTh3Sc2
_space_group_name_H-M_alt 'P 4/m m m'
_space_group_IT_number 123
_space_group_name_Hall '-P 4 2'
_cell_length_a 3.5160
_cell_length_b 3.5160
_cell_length_c 14.2803
_cell_angle_alpha 90.00
_cell_angle_beta 90.00
_cell_angle_gamma 90.00
loop_
_atom_site_label
_atom_site_fract_x
_atom_site_fract_y
_atom_site_fract_z
Ho1 0.0000 0.0000 0.0000
Th1 0.5000 0.5000 0.1762
Th2 0.5000 0.5000 0.5000
Sc1 0.0000 0.0000 0.3383
# total magnetization	0.00	μB per formula unit
# E	-6.549	eV per atom
# N(E_F)	7.5	states/eV per cell

=====

# 24
# Tb8HoMg2 GGA-PBE optimized geometry
data_Tb8HoMg2
_space_group_name_H-M_alt 'C 1 2/m 1'
_space_group_IT_number 12
_space_group_name_Hall '-C 2y'
_cell_length_a 8.7579
_cell_length_b 15.5125
_cell_length_c 5.6600
_cell_angle_alpha 90.00
_cell_angle_beta 116.16
_cell_angle_gamma 90.00
loop_
_atom_site_label
_atom_site_fract_x
_atom_site_fract_y
_atom_site_fract_z
Tb1 0.0000 0.2115 0.0000
Tb2 0.0932 0.5000 0.7964
Tb3 0.2091 0.1118 0.6320
Ho1 0.0000 0.0000 0.0000
Mg1 0.0000 0.3068 0.5000
# total magnetization	0.00	μB per formula unit
# E	-3.936	eV per atom
# N(E_F)	27.2	states/eV per cell